## LiWNF2 (PBE with a Hubbard U)

Data for a relaxed LiWNF2 crystal.

Cell: 3.391 3.391 4.513 Å, 90.00 90.00 90.00°
Space group P4/mmm (No. 123)
Symmetry-distinct sites (fractional):
Li 0.000 0.000 0.000 x1
W 0.500 0.500 0.500 x1
N 0.000 0.000 0.500 x1
F 0.000 0.500 0.000 x2

M_tot = 2.000 μB/f.u.
ρ = 7.77 g/cm³
Relative energy among the computed polymorphs = 421 meV per atom
V = 52 Å³ per cell
DOS(E_F) = 0.581 states/eV/f.u.